Entry w
The following is a DFT calculation (PBE-GGA) of a relaxed structure of In2ReI.

Summary:
Mass density, Mg/m³: 6.39
M_tot, μB per cell: 4.1

abc: 5.713 5.713 9.535
angles: 72.57 72.57 90.00
Each line ends with the local moment (μB).
Fractional coordinates of all 8 atoms:
Re: 0.000 0.000 0.000  1.76
I: 0.500 0.500 0.000  0.04
I: 0.250 0.750 0.500  0.04
In: 0.754 0.125 0.250  -0.06
In: 0.875 0.004 0.750  -0.05
In: 0.996 0.625 0.250  -0.06
In: 0.375 0.246 0.750  -0.05
Re: 0.750 0.250 0.500  1.75


Entry x
The following is a DFT calculation (PBE-GGA) of a relaxed structure of In2ReI.

Summary:
Mass density, Mg/m³: 9.78
M_tot, μB per cell: 0.0

abc: 5.070 5.070 5.070
angles: 60.00 60.00 60.00
Fractional coordinates of all 4 atoms:
In: 0.250 0.250 0.250
I: 0.000 0.000 0.000
Re: 0.500 0.500 0.500
In: 0.750 0.750 0.750


Which is less stable than every other structure shown? entry x is.